# 1
The following is a PBE calculation of a geometry-optimized Tb8Ho2Sc structure, from the Alexandria database.

ΔE_f in meV/atom: 187
Density of states at the Fermi level in states/eV/cell: 17.67
Mass density in g/cm³: 7.6
Offset from the most stable computed form in meV/atom: 0
Total magnetization in Bohr magnetons per cell: 0.00

Cell and atoms, written as POSCAR:
```
Tb8Ho2Sc
1.0
9.320 -3.439 0.000
9.320 3.439 0.000
-0.253 0.000 5.606
Tb Ho Sc
8 2 1
Direct
0.046 0.046 0.233 Tb
0.107 0.635 0.262 Tb
0.316 0.316 0.769 Tb
0.365 0.893 0.738 Tb
0.635 0.107 0.262 Tb
0.684 0.684 0.231 Tb
0.893 0.365 0.738 Tb
0.954 0.954 0.767 Tb
0.217 0.217 0.257 Ho
0.783 0.783 0.743 Ho
0.500 0.500 0.000 Sc
```


# 2
The following is a PBE calculation of a geometry-optimized Pm4NdSm2Sc structure, from the Alexandria database.

ΔE_f in meV/atom: 122
Density of states at the Fermi level in states/eV/cell: 17.62
Mass density in g/cm³: 6.7
Total magnetization in Bohr magnetons per cell: 0.00

Cell and atoms, written as POSCAR:
```
Pm4NdSm2Sc
1.0
5.942 0.000 0.000
0.000 5.942 0.000
0.000 0.000 7.474
Pm Nd Sm Sc
4 1 2 1
Direct
0.000 0.500 0.237 Pm
0.000 0.500 0.763 Pm
0.500 0.000 0.237 Pm
0.500 0.000 0.763 Pm
0.000 0.000 0.500 Nd
0.000 0.000 0.000 Sm
0.500 0.500 0.500 Sm
0.500 0.500 0.000 Sc
```


# 3
The following is a PBE calculation of a geometry-optimized Hg4PbN2 structure, from the Alexandria database.

Raw formation energy in eV/atom: 0.736
Density of states at the Fermi level in states/eV/cell: 1.51
Mass density in g/cm³: 10.7
Total magnetization in Bohr magnetons per cell: 0.00

Cell and atoms, written as POSCAR:
```
Hg4PbN2
1.0
3.448 0.000 0.000
-1.563 6.533 0.000
-0.189 -2.786 7.155
Hg Pb N
4 1 2
Direct
0.222 0.265 0.010 Hg
0.256 0.959 0.333 Hg
0.744 0.041 0.667 Hg
0.778 0.735 0.990 Hg
0.000 0.500 0.500 Pb
0.398 0.333 0.308 N
0.602 0.667 0.692 N
```